Entry 1:
Compound: ScNbZnB2
Source: Alexandria
Functional: GGA-PBEsol
Structure: optimized geometry

Results
**DOS(E_F)**: 1.5 states/eV/cell
**Calculated formation energy**: 0.738 eV per atom

Lattice parameters (Å, degrees): 4.201 4.201 4.690 90.00 90.00 90.00
Sites, in units of the cell vectors:
B1 0.000 0.500 0.000
B2 0.500 0.000 0.000
Zn1 0.000 0.000 0.500
Sc1 0.500 0.500 0.500
Nb1 0.000 0.000 0.000

***

Entry 2:
Compound: Nb3BSe
Source: Alexandria
Functional: GGA-PBEsol
Structure: optimized geometry

Results
**Formation energy from raw total energies**: 196 meV/atom
**DOS(E_F)**: 4.8 states/eV/cell

Lattice parameters (Å, degrees): 4.339 4.339 4.339 90.00 90.00 90.00
Sites, in units of the cell vectors:
Nb1 0.000 0.500 0.000
Nb2 0.000 0.000 0.500
Nb3 0.500 0.000 0.000
Se1 0.500 0.500 0.500
B1 0.000 0.000 0.000

***

Entry 3:
Compound: NbB3Se
Source: Alexandria
Functional: GGA-PBEsol
Structure: optimized geometry

Results
**Formation energy from raw total energies**: 1844 meV/atom
**DOS(E_F)**: 2.8 states/eV/cell

Lattice parameters (Å, degrees): 3.987 3.987 3.987 90.00 90.00 90.00
Sites, in units of the cell vectors:
Se1 0.000 0.000 0.000
B1 0.500 0.000 0.000
B2 0.000 0.000 0.500
B3 0.000 0.500 0.000
Nb1 0.500 0.500 0.500

***

Entry 4:
Compound: TaNbBSe2
Source: Alexandria
Functional: GGA-PBEsol
Structure: optimized geometry

Results
**Formation energy from raw total energies**: 686 meV/atom
**DOS(E_F)**: 3.6 states/eV/cell

Lattice parameters (Å, degrees): 4.181 4.397 4.397 90.00 90.00 90.00
Sites, in units of the cell vectors:
B1 0.000 0.000 0.000
Se1 0.000 0.000 0.500
Se2 0.000 0.500 0.000
Ta1 0.500 0.000 0.000
Nb1 0.500 0.500 0.500

***

Entry 5:
Compound: Nb5Si3B
Source: Alexandria
Functional: GGA-PBEsol
Structure: optimized geometry

Results
**Formation energy from raw total energies**: -757 meV/atom
**DOS(E_F)**: 8.2 states/eV/cell

Lattice parameters (Å, degrees): 5.251 7.615 7.615 120.00 90.00 90.00
Sites, in units of the cell vectors:
Nb1 0.250 0.248 0.248
Nb2 0.250 0.752 0.000
Nb3 0.250 0.000 0.752
Nb4 0.750 0.248 0.000
Nb5 0.750 0.752 0.752
Nb6 0.500 0.667 0.333
Nb7 0.750 0.000 0.248
Nb8 0.000 0.333 0.667
Nb9 0.000 0.667 0.333
Nb10 0.500 0.333 0.667
Si1 0.250 0.402 0.000
Si2 0.250 0.000 0.402
Si3 0.750 0.402 0.402
Si4 0.250 0.598 0.598
Si5 0.750 0.598 0.000
Si6 0.750 0.000 0.598
B1 0.500 0.000 0.000
B2 0.000 0.000 0.000

***

Entry 6:
Compound: Nb5SiB2
Source: Alexandria
Functional: GGA-PBEsol
Structure: optimized geometry

Results
**Formation energy from raw total energies**: -701 meV/atom
**DOS(E_F)**: 7.4 states/eV/cell

Lattice parameters (Å, degrees): 6.223 6.223 7.283 115.29 115.29 90.00
Sites, in units of the cell vectors:
Si1 0.250 0.250 0.500
Si2 0.750 0.750 0.500
Nb1 0.307 0.469 0.276
Nb2 0.031 0.193 0.724
Nb3 0.500 0.500 0.000
Nb4 0.969 0.807 0.276
Nb5 0.531 0.031 0.724
Nb6 0.000 0.000 0.000
Nb7 0.469 0.969 0.276
Nb8 0.807 0.307 0.276
Nb9 0.693 0.531 0.724
Nb10 0.193 0.693 0.724
B1 0.387 0.113 0.000
B2 0.113 0.613 0.000
B3 0.887 0.387 0.000
B4 0.613 0.887 0.000

***

Entry 7:
Compound: Nb10Si3B3
Source: Alexandria
Functional: GGA-PBEsol
Structure: optimized geometry

Results
**Formation energy from raw total energies**: -696 meV/atom
**DOS(E_F)**: 5.4 states/eV/cell

Lattice parameters (Å, degrees): 6.317 6.317 7.335 115.33 115.33 90.37
Sites, in units of the cell vectors:
Nb1 0.190 0.181 0.717
Nb2 0.502 0.006 0.000
Nb3 0.970 0.308 0.277
Nb4 0.819 0.810 0.283
Nb5 0.017 0.698 0.715
Nb6 0.536 0.527 0.717
Nb7 0.692 0.030 0.723
Nb8 0.994 0.498 0.000
Nb9 0.302 0.983 0.285
Nb10 0.473 0.464 0.283
Si1 0.753 0.247 0.500
Si2 0.253 0.747 0.500
Si3 0.380 0.620 0.000
B1 0.623 0.377 0.000
B2 0.885 0.887 0.000
B3 0.113 0.115 0.000

***

Entry 8:
Compound: Nb2SiTcB
Source: Alexandria
Functional: GGA-PBEsol
Structure: optimized geometry

Results
**Formation energy from raw total energies**: 89 meV/atom
**DOS(E_F)**: 1.9 states/eV/cell

Lattice parameters (Å, degrees): 3.682 4.385 4.385 90.00 90.00 90.00
Sites, in units of the cell vectors:
Si1 0.500 0.000 0.000
B1 0.000 0.000 0.000
Nb1 0.000 0.000 0.500
Nb2 0.000 0.500 0.000
Tc1 0.500 0.500 0.500

***

Entry 9:
Compound: NbSn3B
Source: Alexandria
Functional: GGA-PBEsol
Structure: optimized geometry

Results
**DOS(E_F)**: 4.6 states/eV/cell
**Calculated formation energy**: 0.948 eV per atom

Lattice parameters (Å, degrees): 4.694 4.694 4.694 90.00 90.00 90.00
Sites, in units of the cell vectors:
Sn1 0.000 0.500 0.000
Sn2 0.000 0.000 0.500
Sn3 0.500 0.000 0.000
Nb1 0.500 0.500 0.500
B1 0.000 0.000 0.000

***

Entry 10:
Compound: SrNbB2
Source: Alexandria
Functional: GGA-PBEsol
Structure: optimized geometry

Results
**DOS(E_F)**: 3.5 states/eV/cell
**Calculated formation energy**: 1.082 eV per atom

Lattice parameters (Å, degrees): 4.388 4.388 4.388 60.00 60.00 60.00
Sites, in units of the cell vectors:
B1 0.750 0.750 0.750
B2 0.250 0.250 0.250
Sr1 0.000 0.000 0.000
Nb1 0.500 0.500 0.500

***

Entry 11:
Compound: Ta2NbB2
Source: Alexandria
Functional: GGA-PBEsol
Structure: optimized geometry

Results
**DOS(E_F)**: 2.9 states/eV/cell
**Calculated formation energy**: -0.709 eV per atom

Lattice parameters (Å, degrees): 3.266 6.173 6.173 90.00 90.00 90.00
Sites, in units of the cell vectors:
Ta1 0.500 0.822 0.322
Ta2 0.500 0.678 0.822
Ta3 0.500 0.178 0.678
Ta4 0.500 0.322 0.178
Nb1 0.000 0.500 0.500
Nb2 0.000 0.000 0.000
B1 0.000 0.393 0.893
B2 0.000 0.893 0.607
B3 0.000 0.107 0.393
B4 0.000 0.607 0.107

***

Entry 12:
Compound: TaNb2B2
Source: Alexandria
Functional: GGA-PBEsol
Structure: optimized geometry

Results
**DOS(E_F)**: 3.0 states/eV/cell
**Calculated formation energy**: -0.702 eV per atom

Lattice parameters (Å, degrees): 3.286 6.174 6.174 90.00 90.00 90.00
Sites, in units of the cell vectors:
B1 0.000 0.607 0.107
B2 0.000 0.393 0.893
B3 0.000 0.107 0.393
B4 0.000 0.893 0.607
Nb1 0.500 0.178 0.678
Nb2 0.500 0.822 0.322
Nb3 0.500 0.678 0.822
Nb4 0.500 0.322 0.178
Ta1 0.000 0.000 0.000
Ta2 0.000 0.500 0.500